Here is an optimized crystal structure of ZnIr2Rh from Alexandria. Energies are from PBE.

Calculated values
* energy of formation: 0.053 eV per atom

a b c (Å): 2.7820 4.5535 4.5911
angles (deg): 90.00 90.00 90.00
With the nearest neighbours (Å) after each atom.
Positions (direct):
Ir1 0.0000 0.0000 0.0000  6 Ir 2.67-2.78, 4 Rh 2.68
Ir2 0.5000 0.5000 0.0000  6 Ir 2.67-2.78, 4 Zn 2.68
Rh1 0.5000 0.0000 0.5000  4 Zn 2.67, 4 Ir 2.68, 2 Rh 2.78
Zn1 0.0000 0.5000 0.5000  4 Rh 2.67, 4 Ir 2.68, 2 Zn 2.78


Here is an optimized crystal structure of Li2NiCl from Alexandria. Energies are from PBE.

Calculated values
* formation energy from raw total energies: -84 meV/atom

a b c (Å): 4.4118 4.4118 4.4118
angles (deg): 60.00 60.00 60.00
With the nearest neighbours (Å) after each atom.
Positions (direct):
Ni1 0.5000 0.5000 0.5000  8 Li 2.70
Li1 0.2500 0.2500 0.2500  4 Cl 2.70, 4 Ni 2.70
Li2 0.7500 0.7500 0.7500  4 Ni 2.70, 4 Cl 2.70
Cl1 0.0000 0.0000 0.0000  8 Li 2.70


no.,theoretical density (g/cm3),total moment (μB per cell),calculated total energy (eV/atom)
1,15.78,0.0,-6.53
2,2.95,0.0,-2.95